[1]
Co5Re3Si12: optimized geometry, PBE.

Unit cell a=11.829 b=11.829 c=11.829 alpha=109.47 beta=109.47 gamma=109.47
Element x y z (fractional)
Si: 0.665 0.223 0.587
Si: 0.443 0.777 0.864
Si: 0.921 0.835 0.557
Si: 0.913 0.079 0.636
Si: 0.335 0.557 0.421
Si: 0.723 0.587 0.165
Si: 0.413 0.136 0.579
Si: 0.913 0.835 0.777
Si: 0.723 0.136 0.057
Si: 0.921 0.087 0.864
Si: 0.864 0.277 0.443
Si: 0.413 0.277 0.335
Si: 0.087 0.921 0.364
Si: 0.335 0.777 0.413
Si: 0.165 0.087 0.723
Si: 0.277 0.864 0.943
Si: 0.864 0.587 0.921
Si: 0.835 0.921 0.057
Si: 0.636 0.579 0.913
Si: 0.136 0.723 0.557
Si: 0.079 0.165 0.443
Si: 0.557 0.223 0.136
Si: 0.835 0.913 0.277
Si: 0.057 0.421 0.835
Si: 0.777 0.443 0.364
Si: 0.665 0.443 0.579
Si: 0.443 0.665 0.079
Si: 0.364 0.421 0.087
Si: 0.557 0.335 0.921
Si: 0.165 0.079 0.943
Si: 0.636 0.057 0.223
Si: 0.223 0.665 0.087
Si: 0.421 0.057 0.335
Si: 0.136 0.413 0.079
Si: 0.223 0.557 0.636
Si: 0.943 0.364 0.277
Si: 0.421 0.364 0.587
Si: 0.277 0.413 0.835
Si: 0.579 0.943 0.665
Si: 0.079 0.913 0.136
Si: 0.777 0.335 0.913
Si: 0.587 0.864 0.421
Si: 0.579 0.636 0.413
Si: 0.587 0.723 0.665
Si: 0.364 0.943 0.777
Si: 0.943 0.579 0.165
Si: 0.057 0.636 0.723
Si: 0.087 0.165 0.223
Co: 0.625 0.875 0.250
Co: 0.000 0.500 0.500
Co: 0.750 0.625 0.375
Co: 0.125 0.375 0.250
Co: 0.500 0.500 0.500
Co: 0.375 0.125 0.750
Co: 0.375 0.250 0.125
Co: 0.500 0.000 0.500
Co: 0.250 0.375 0.625
Co: 0.500 0.000 0.000
Co: 0.500 0.500 0.000
Co: 0.125 0.750 0.375
Co: 0.250 0.875 0.125
Co: 0.875 0.250 0.625
Co: 0.625 0.750 0.875
Co: 0.000 0.000 0.000
Co: 0.875 0.625 0.750
Co: 0.000 0.500 0.000
Co: 0.000 0.000 0.500
Co: 0.750 0.125 0.875
Re: 0.875 0.750 0.125
Re: 0.375 0.750 0.625
Re: 0.250 0.625 0.875
Re: 0.375 0.625 0.250
Re: 0.125 0.250 0.875
Re: 0.750 0.875 0.625
Re: 0.875 0.125 0.250
Re: 0.125 0.875 0.750
Re: 0.625 0.375 0.750
Re: 0.750 0.375 0.125
Re: 0.625 0.250 0.375
Re: 0.250 0.125 0.375

Summary:
Formation energy without anion corrections, kcal/mol of atoms: 4.7
Space group: Ia-3d

=====

[2]
Pr12NdTm7: optimized geometry, PBE.

Unit cell a=9.470 b=9.470 c=9.470 alpha=107.91 beta=107.91 gamma=107.91
Element x y z (fractional)
Tm: 0.992 0.104 0.681
Tm: 0.104 0.681 0.992
Tm: 0.319 0.008 0.896
Tm: 0.500 0.500 0.500
Tm: 0.681 0.992 0.104
Tm: 0.896 0.319 0.008
Tm: 0.008 0.896 0.319
Pr: 0.672 0.376 0.220
Pr: 0.328 0.624 0.780
Pr: 0.295 0.409 0.053
Pr: 0.409 0.053 0.295
Pr: 0.705 0.591 0.947
Pr: 0.053 0.295 0.409
Pr: 0.947 0.705 0.591
Pr: 0.591 0.947 0.705
Pr: 0.220 0.672 0.376
Pr: 0.624 0.780 0.328
Pr: 0.376 0.220 0.672
Pr: 0.780 0.328 0.624
Nd: 0.000 0.000 0.000

Summary:
Formation energy, meV/atom: 144
Space group: R-3
Energy above the lowest structure with this stoichiometry, eV/atom: 0.000

=====

[3]
PrNd8Tm2: optimized geometry, PBE.

Unit cell a=5.693 b=10.393 c=10.393 alpha=39.99 beta=93.00 gamma=93.00
Element x y z (fractional)
Nd: 0.732 0.404 0.865
Nd: 0.768 0.812 0.812
Nd: 0.732 0.865 0.404
Nd: 0.268 0.135 0.596
Nd: 0.239 0.545 0.545
Nd: 0.268 0.596 0.135
Nd: 0.761 0.455 0.455
Nd: 0.232 0.188 0.188
Tm: 0.746 0.285 0.285
Tm: 0.254 0.715 0.715
Pr: 0.000 0.000 0.000

Summary:
Formation energy, meV/atom: 140
Space group: C2/m
Energy above the lowest structure with this stoichiometry, eV/atom: 0.000

=====

[4]
PrSi2Pt6: optimized geometry, PBE.

Unit cell a=5.606 b=5.606 c=6.402 alpha=90.00 beta=90.00 gamma=120.00
Element x y z (fractional)
Pr: 0.000 0.000 0.000
Si: 0.333 0.667 0.500
Si: 0.667 0.333 0.500
Pt: 0.500 0.000 0.777
Pt: 0.000 0.500 0.777
Pt: 0.500 0.500 0.777
Pt: 0.500 0.500 0.223
Pt: 0.000 0.500 0.223
Pt: 0.500 0.000 0.223

Summary:
Formation energy without anion corrections, kcal/mol of atoms: -18.2
Space group: P6/mmm

=====

[5]
La2Tb5Dy3: optimized geometry, PBE.

Unit cell a=9.363 b=9.351 c=9.750 alpha=108.23 beta=108.28 gamma=110.31
Element x y z (fractional)
Dy: 0.467 0.514 0.745
Dy: 0.222 0.769 0.255
Dy: 0.778 0.231 0.745
Dy: 0.533 0.486 0.255
Dy: 0.276 0.026 0.052
Dy: 0.724 0.974 0.948
Tb: 0.977 0.727 0.454
Tb: 0.147 0.369 0.258
Tb: 0.853 0.631 0.742
Tb: 0.771 0.521 0.042
Tb: 0.528 0.778 0.556
Tb: 0.472 0.222 0.444
Tb: 0.611 0.888 0.258
Tb: 0.229 0.479 0.958
Tb: 0.023 0.273 0.546
Tb: 0.389 0.112 0.742
La: 0.730 0.276 0.245
La: 0.014 0.968 0.245
La: 0.270 0.724 0.755
La: 0.986 0.032 0.755

Summary:
Formation energy, meV/atom: 192
Space group: C2/c

=====

[6]
EuHgRh4: optimized geometry, PBE.

Unit cell a=5.329 b=5.329 c=5.329 alpha=60.00 beta=60.00 gamma=60.00
Last column: magnetic moment on the atom in μB.
Element x y z (fractional)
Eu: 0.250 0.250 0.250  -6.62
Hg: 0.000 0.000 0.000  -0.02
Rh: 0.123 0.626 0.626  0.18
Rh: 0.626 0.626 0.626  0.18
Rh: 0.626 0.123 0.626  0.18
Rh: 0.626 0.626 0.123  0.18

Summary:
Formation energy, meV/atom: -159
Space group: F-43m

=====

[7]
ErCu12: optimized geometry, PBE.

Unit cell a=4.854 b=6.440 c=6.440 alpha=81.84 beta=67.86 gamma=67.86
Element x y z (fractional)
Cu: 0.354 0.646 0.646
Cu: 0.000 0.500 0.000
Cu: 0.500 0.221 0.779
Cu: 0.000 0.354 0.646
Cu: 0.000 0.000 0.500
Cu: 0.500 0.779 0.221
Cu: 0.000 0.646 0.354
Cu: 0.500 0.000 0.500
Cu: 0.721 0.779 0.779
Cu: 0.646 0.354 0.354
Cu: 0.500 0.500 0.000
Cu: 0.279 0.221 0.221
Er: 0.000 0.000 0.000

Summary:
Formation energy, meV/atom: -82
Space group: I4/mmm

=====

[8]
CoCuNi2H5: optimized geometry, PBE.

Unit cell a=3.122 b=4.229 c=5.237 alpha=113.81 beta=107.34 gamma=90.00
Element x y z (fractional)
Ni: 0.223 0.223 0.446
Ni: 0.777 0.777 0.554
H: 0.350 0.625 0.701
H: 0.350 0.076 0.701
H: 0.000 0.000 0.000
H: 0.650 0.924 0.299
H: 0.650 0.375 0.299
Co: 0.500 0.000 0.000
Cu: 0.000 0.500 0.000

Summary:
Calculated total energy, eV/atom: -4.277
Space group: Immm

=====

[9]
TbNd2S3: optimized geometry, PBE.

Unit cell a=4.021 b=5.689 c=6.971 alpha=114.09 beta=106.76 gamma=90.00
Element x y z (fractional)
S: 0.841 0.341 0.182
S: 0.500 0.000 0.500
S: 0.159 0.659 0.818
Nd: 0.170 0.170 0.840
Nd: 0.830 0.830 0.160
Tb: 0.500 0.500 0.500

Summary:
Formation energy without anion corrections, kcal/mol of atoms: -46.5
Space group: Immm

=====

[10]
LiCa2Zn6Ir: optimized geometry, PBE.

Unit cell a=6.777 b=6.756 c=6.728 alpha=61.06 beta=55.04 gamma=89.01
Element x y z (fractional)
Zn: 0.897 0.685 0.935
Zn: 0.919 0.390 0.784
Zn: 0.934 0.839 0.468
Zn: 0.066 0.161 0.532
Zn: 0.103 0.315 0.065
Zn: 0.081 0.610 0.216
Ca: 0.539 0.181 0.632
Ca: 0.461 0.819 0.368
Ir: 0.000 0.000 0.000
Li: 0.500 0.500 0.000

Summary:
Formation energy, meV/atom: -192
Space group: P-1

=====

[11]
AgMo2Pb: optimized geometry, PBE.

Unit cell a=2.978 b=2.978 c=9.686 alpha=90.00 beta=90.00 gamma=112.33
Element x y z (fractional)
Mo: 0.500 0.500 0.216
Mo: 0.000 0.000 0.020
Ag: 0.500 0.500 0.777
Pb: 0.000 0.000 0.488

Summary:
Formation energy, meV/atom: 471
Space group: Cmm2

=====

[12]
Sc4AgIr2: optimized geometry, PBE.

Unit cell a=4.624 b=4.624 c=7.879 alpha=72.93 beta=72.93 gamma=60.00
Element x y z (fractional)
Ir: 0.748 0.748 0.756
Ir: 0.252 0.252 0.244
Sc: 0.870 0.870 0.391
Sc: 0.382 0.382 0.853
Sc: 0.618 0.618 0.147
Sc: 0.130 0.130 0.609
Ag: 0.000 0.000 0.000

Summary:
Formation energy, meV/atom: -711
Space group: R-3m

=====

[13]
LuCuHgPb: optimized geometry, PBE.

Unit cell a=5.044 b=5.044 c=5.044 alpha=60.00 beta=60.00 gamma=60.00
Element x y z (fractional)
Hg: 0.750 0.750 0.750
Pb: 0.000 0.000 0.000
Cu: 0.250 0.250 0.250
Lu: 0.500 0.500 0.500

Summary:
Formation energy, meV/atom: -79
Space group: F-43m

=====

[14]
Np2CoP4Ir3: optimized geometry, PBE.

Unit cell a=4.120 b=4.120 c=9.418 alpha=90.00 beta=90.00 gamma=90.00
Last column: magnetic moment on the atom in μB.
Element x y z (fractional)
Ir: 0.500 0.000 0.883  -0.11
Ir: 0.000 0.500 0.117  -0.11
Ir: 0.000 0.000 0.500  0.03
P: 0.000 0.500 0.368  -0.02
P: 0.500 0.000 0.632  -0.02
P: 0.000 0.000 0.000  -0.03
P: 0.500 0.500 0.000  -0.03
Co: 0.500 0.500 0.500  0.69
Np: 0.500 0.000 0.249  3.46
Np: 0.000 0.500 0.751  3.46

Summary:
Formation energy, meV/atom: -669
Space group: P-4m2

=====

[15]
ZrPbSe: optimized geometry, PBE.

Unit cell a=4.692 b=4.692 c=3.799 alpha=90.00 beta=90.00 gamma=120.00
Element x y z (fractional)
Pb: 0.000 0.000 0.000
Se: 0.333 0.667 0.500
Zr: 0.667 0.333 0.500

Summary:
Formation energy without anion corrections, kcal/mol of atoms: -10.3
Space group: P-6m2
Energy above the lowest structure with this stoichiometry, eV/atom: 0.242

=====

[16]
GaPd5: optimized geometry, PBE.

Unit cell a=3.945 b=4.832 c=5.582 alpha=108.60 beta=90.00 gamma=114.10
Element x y z (fractional)
Pd: 0.672 0.344 0.831
Pd: 0.341 0.682 0.680
Pd: 0.328 0.656 0.169
Pd: 0.000 0.000 0.500
Pd: 0.659 0.318 0.320
Ga: 0.000 0.000 0.000

Summary:
Formation energy, meV/atom: -314
Space group: C2/m

=====

[17]
CsMgNb: optimized geometry, PBE.

Unit cell a=14.234 b=5.277 c=5.583 alpha=90.00 beta=90.00 gamma=90.00
Element x y z (fractional)
Mg: 0.500 0.500 0.500
Mg: 0.000 0.500 0.000
Mg: 0.000 0.000 0.000
Mg: 0.500 0.000 0.500
Nb: 0.500 0.250 0.998
Nb: 0.000 0.250 0.502
Nb: 0.000 0.750 0.498
Nb: 0.500 0.750 0.002
Cs: 0.250 0.250 0.250
Cs: 0.750 0.250 0.250
Cs: 0.750 0.750 0.750
Cs: 0.250 0.750 0.750

Summary:
Formation energy, meV/atom: 838
Space group: Imma
Energy above the lowest structure with this stoichiometry, eV/atom: 0.350